1.
Crystalline Mg2OF2 at its relaxed geometry, computed with PBE.

Summary:
Its energy above the most stable polymorph in this dataset is 0.748 eV/atom.

Structure (CIF):
```
data_Mg2OF2
_chemical_formula_sum 'Mg4 O2 F4'
_symmetry_space_group_name_H-M 'P 1'
_symmetry_Int_Tables_number 1
_cell_length_a 6.1938
_cell_length_b 6.1938
_cell_length_c 2.7917
_cell_angle_alpha 90.00
_cell_angle_beta 90.00
_cell_angle_gamma 90.00
loop_
_symmetry_equiv_pos_as_xyz
'x,y,z'
loop_
_atom_site_label
_atom_site_fract_x
_atom_site_fract_y
_atom_site_fract_z
_atom_site_occupancy
F1 0.3759 0.8759 0.0000 1
F2 0.6241 0.1241 0.0000 1
F3 0.1241 0.3759 0.0000 1
O1 0.0000 0.0000 0.0000 1
Mg1 0.7875 0.2875 0.5000 1
Mg2 0.7125 0.7875 0.5000 1
Mg3 0.2125 0.7125 0.5000 1
Mg4 0.2875 0.2125 0.5000 1
F4 0.8759 0.6241 0.0000 1
O2 0.5000 0.5000 0.0000 1
```

***

2.
Crystalline Mg2OF at its relaxed geometry, computed with PBE.

Summary:
Its energy above the most stable polymorph in this dataset is 0.659 eV/atom.

Structure (CIF):
```
data_Mg2OF
_chemical_formula_sum 'Mg2 O1 F1'
_symmetry_space_group_name_H-M 'P 1'
_symmetry_Int_Tables_number 1
_cell_length_a 4.0796
_cell_length_b 4.0796
_cell_length_c 4.0796
_cell_angle_alpha 60.00
_cell_angle_beta 60.00
_cell_angle_gamma 60.00
loop_
_symmetry_equiv_pos_as_xyz
'x,y,z'
loop_
_atom_site_label
_atom_site_fract_x
_atom_site_fract_y
_atom_site_fract_z
_atom_site_occupancy
Mg1 0.2500 0.2500 0.2500 1
O1 0.0000 0.0000 0.0000 1
F1 0.5000 0.5000 0.5000 1
Mg2 0.7500 0.7500 0.7500 1
```

***

3.
Crystalline MgOF2 at its relaxed geometry, computed with PBE.

Summary:
Its energy above the most stable polymorph in this dataset is 0.408 eV/atom.

Structure (CIF):
```
data_MgOF2
_chemical_formula_sum 'Mg1 O1 F2'
_symmetry_space_group_name_H-M 'P 1'
_symmetry_Int_Tables_number 1
_cell_length_a 3.8271
_cell_length_b 3.8271
_cell_length_c 3.8271
_cell_angle_alpha 60.00
_cell_angle_beta 60.00
_cell_angle_gamma 60.00
loop_
_symmetry_equiv_pos_as_xyz
'x,y,z'
loop_
_atom_site_label
_atom_site_fract_x
_atom_site_fract_y
_atom_site_fract_z
_atom_site_occupancy
O1 0.0000 0.0000 0.0000 1
F1 0.7500 0.7500 0.7500 1
F2 0.2500 0.2500 0.2500 1
Mg1 0.5000 0.5000 0.5000 1
```